Below is a geometry-optimized MnTeAsI2 structure, with properties calculated at the GGA-PBE level.

abc: 5.237 5.237 4.977
angles: 90.00 90.00 90.00
Sites, in units of the cell vectors:
I  0.000  0.500  0.000
I  0.500  0.000  0.000
Mn  0.000  0.000  0.000
Te  0.000  0.000  0.500
As  0.500  0.500  0.500

- Relative energy among the computed polymorphs: 168 meV/atom
- Density: 6.22 g cm⁻³
- DOS at the Fermi energy: 8.47 states/eV/cell
- Crystal system: tetragonal
- Symmetry: P4/mmm (123)